1.
A plane-wave DFT calculation with PBE-GGA was carried out for Te2MoAs after structural relaxation.

```
Te2MoAs
1.0
3.457 0.000 0.000
0.000 5.319 0.000
0.000 0.000 4.782
Mo Te As
1 2 1
Direct
0.000 0.500 0.500
0.000 0.000 0.000
0.500 0.500 0.000
0.500 0.000 0.500
```

Summary:
Energy relative to the elements, uncorrected, kJ per mole of atoms: 69
Total DFT energy (no corrections), eV per atom: -4.72

---

2.
A plane-wave DFT calculation with PBE-GGA was carried out for KCoIrCl6 after structural relaxation.

```
KCoIrCl6
1.0
-4.170 -1.204 4.567
-3.222 -5.414 -0.010
5.090 -3.063 3.813
K Co Ir Cl
1 1 1 6
Direct
0.000 0.000 0.000
0.668 0.668 0.500
0.334 0.334 0.500
0.010 0.359 0.310
0.359 0.010 0.690
0.624 0.366 0.691
0.010 0.628 0.689
0.366 0.624 0.309
0.628 0.010 0.311
```

Summary:
Energy relative to the elements, uncorrected, kJ per mole of atoms: -80
Total DFT energy (no corrections), eV per atom: -3.96

---

3.
A plane-wave DFT calculation with PBE-GGA was carried out for Pr2CuAs4Pd3 after structural relaxation.

```
Pr2CuAs4Pd3
1.0
4.396 0.000 0.000
0.000 4.396 0.000
0.000 0.000 10.129
Pr Cu As Pd
2 1 4 3
Direct
0.500 0.000 0.251
0.000 0.500 0.749
0.500 0.500 0.500
0.500 0.500 0.000
0.000 0.000 0.000
0.500 0.000 0.629
0.000 0.500 0.371
0.000 0.000 0.500
0.500 0.000 0.874
0.000 0.500 0.126
```

Summary:
Total DFT energy (no corrections), eV per atom: -5.59

---

4.
A plane-wave DFT calculation with PBE-GGA was carried out for PmPr10Ho4 after structural relaxation.

```
PmPr10Ho4
1.0
7.241 0.000 3.270
3.620 8.199 1.635
0.246 0.000 9.108
Pm Pr Ho
1 10 4
Direct
0.000 0.000 0.000
0.250 0.500 0.500
0.712 0.216 0.784
0.072 0.216 0.216
0.503 0.784 0.784
0.712 0.784 0.216
0.288 0.784 0.216
0.750 0.500 0.500
0.288 0.216 0.784
0.497 0.216 0.216
0.928 0.784 0.784
0.232 0.000 0.537
0.768 0.463 0.000
0.232 0.537 0.000
0.768 0.000 0.463
```

Summary:
Total DFT energy (no corrections), eV per atom: -4.50

---

5.
A plane-wave DFT calculation with PBE-GGA was carried out for ThPH after structural relaxation.

```
ThPH
1.0
-1.426 0.240 -3.478
1.044 -3.556 -0.674
-3.293 0.381 3.417
P Th H
1 1 1
Direct
0.626 0.626 0.253
0.266 0.266 0.533
0.957 0.957 0.914
```

Summary:
Polymorph energy (0 for the lowest one), meV per atom: 529.9
Total DFT energy (no corrections), eV per atom: -5.98

---

6.
A plane-wave DFT calculation with PBE-GGA was carried out for BaNa2TiS4 after structural relaxation.

```
BaNa2TiS4
1.0
-2.676 3.395 5.762
-6.258 1.662 0.617
-1.801 -3.043 5.459
Ba Na Ti S
1 2 1 4
Direct
0.000 0.000 0.000
0.500 0.750 0.250
0.500 0.250 0.750
0.000 0.500 0.500
0.630 0.527 0.844
0.370 0.156 0.473
0.000 0.473 0.156
0.000 0.844 0.527
```

Summary:
Energy relative to the elements, uncorrected, kJ per mole of atoms: -142
Total DFT energy (no corrections), eV per atom: -5.09

---

7.
A plane-wave DFT calculation with PBE-GGA was carried out for ReNiHg after structural relaxation.

```
ReNiHg
1.0
5.627 0.000 0.008
0.000 2.882 0.000
-3.173 0.000 11.744
Re Ni Hg
4 4 4
Direct
0.602 0.000 0.191
0.398 0.000 0.809
0.602 0.500 0.691
0.398 0.500 0.309
0.925 0.000 0.820
0.075 0.000 0.180
0.925 0.500 0.320
0.075 0.500 0.680
0.248 0.000 0.502
0.752 0.000 0.498
0.248 0.500 0.002
0.752 0.500 0.998
```

Summary:
Polymorph energy (0 for the lowest one), meV per atom: 141.3
Total DFT energy (no corrections), eV per atom: -5.78

---

8.
A plane-wave DFT calculation with PBE-GGA was carried out for Pu2AlSn3 after structural relaxation.

```
Pu2AlSn3
1.0
-5.466 -1.767 -1.905
2.853 -5.892 -2.718
-0.656 -4.136 5.719
Pu Al Sn
4 2 6
Direct
0.750 0.430 0.105
0.250 0.570 0.895
0.250 0.895 0.570
0.750 0.105 0.430
0.750 0.811 0.811
0.250 0.189 0.189
0.250 0.441 0.441
0.750 0.559 0.559
0.500 0.176 0.824
0.000 0.176 0.824
0.500 0.824 0.176
0.000 0.824 0.176
```

Summary:
Total DFT energy (no corrections), eV per atom: -7.51

---

9.
A plane-wave DFT calculation with PBE-GGA was carried out for BaY2Au2 after structural relaxation.

```
BaY2Au2
1.0
5.045 0.000 0.000
0.000 5.045 0.000
2.523 2.523 5.996
Y Au Ba
2 2 1
Direct
0.750 0.250 0.500
0.250 0.750 0.500
0.381 0.381 0.238
0.619 0.619 0.762
0.000 0.000 0.000
```

Summary:
Polymorph energy (0 for the lowest one), meV per atom: 0.0
Total DFT energy (no corrections), eV per atom: -4.84

---

10.
A plane-wave DFT calculation with PBE-GGA was carried out for Pr2MnPt9 after structural relaxation.

```
Pr2MnPt9
1.0
-2.062 1.445 -4.812
-5.264 -0.820 -1.056
-4.353 8.294 1.291
Pr Mn Pt
2 1 9
Direct
0.864 0.864 0.409
0.136 0.136 0.591
0.000 0.000 0.000
0.667 0.667 0.998
0.333 0.333 0.002
0.500 0.500 0.500
0.415 0.415 0.250
0.920 0.415 0.250
0.415 0.920 0.250
0.585 0.585 0.750
0.585 0.080 0.750
0.080 0.585 0.750
```

Summary:
Total DFT energy (no corrections), eV per atom: -6.65

---

11.
A plane-wave DFT calculation with PBE-GGA was carried out for ScAsSe2 after structural relaxation.

```
ScAsSe2
1.0
-1.587 -2.507 2.243
4.503 -2.356 0.553
1.558 2.673 4.091
As Sc Se
1 1 2
Direct
0.500 0.250 0.250
0.500 0.750 0.750
0.000 0.991 0.992
0.000 0.509 0.508
```

Summary:
Energy relative to the elements, uncorrected, kJ per mole of atoms: -52
Total DFT energy (no corrections), eV per atom: -5.03

---

12.
A plane-wave DFT calculation with PBE-GGA was carried out for BeIr2W after structural relaxation.

```
BeIr2W
1.0
2.764 0.000 0.000
0.000 3.813 0.000
0.000 0.000 5.326
Be Ir W
1 2 1
Direct
0.500 0.500 0.788
0.000 0.000 0.947
0.500 0.500 0.271
0.000 0.000 0.494
```

Summary:
Total DFT energy (no corrections), eV per atom: -8.77

---

13.
A plane-wave DFT calculation with PBE-GGA was carried out for Cs3MgB after structural relaxation.

```
Cs3MgB
1.0
-5.081 -3.373 -2.927
4.258 -2.321 -4.716
1.347 -5.385 3.867
Cs Mg B
3 1 1
Direct
0.000 0.500 0.000
0.000 0.000 0.500
0.500 0.000 0.000
0.500 0.500 0.500
0.000 0.000 0.000
```

Summary:
Polymorph energy (0 for the lowest one), meV per atom: 0.0
Total DFT energy (no corrections), eV per atom: -1.29